(1)
The following is a PBE calculation of Ba2TlPOs after structural relaxation, from Alexandria.

a b c (Å): 6.221 6.221 4.395
angles (deg): 90.00 90.00 90.00
Element x y z (fractional)
Ba 0.000 0.500 0.000
Ba 0.500 0.000 0.000
Tl 0.000 0.000 0.500
P 0.500 0.500 0.000
Os 0.500 0.500 0.500

(2)
The following is a PBE calculation of Ba2TlPOs after structural relaxation, from Alexandria.

a b c (Å): 6.406 6.406 5.011
angles (deg): 90.00 90.00 90.00
Element x y z (fractional)
Ba 0.000 0.500 0.000
Ba 0.500 0.000 0.000
Tl 0.000 0.000 0.000
P 0.500 0.500 0.500
Os 0.000 0.000 0.500

(3)
The following is a PBE calculation of BaPa2Os after structural relaxation, from Alexandria.

a b c (Å): 10.511 10.511 10.511
angles (deg): 21.30 21.30 21.30
Element x y z (fractional)
Ba 0.000 0.000 0.000
Pa 0.116 0.116 0.116
Pa 0.884 0.884 0.884
Os 0.500 0.500 0.500

no.,raw total energy (eV/atom)
1,-4.74
2,-3.64
3,-7.72